Entry 1:
This record from Alexandria via LeMat-Bulk describes crystalline Ti3Ga2SiTc3 at its relaxed geometry. The functional is PBE.

Unit cell a=7.0725 b=7.0725 c=3.1210 alpha=90.00 beta=90.00 gamma=120.00
Last column: nearest neighbours and their distance in Å.
Positions (direct):
Ti1 0.0000 0.7313 0.0000  2 Si 2.46, 2 Ga 2.62
Ti2 0.2687 0.2687 0.0000  2 Si 2.46, 2 Ga 2.62
Ti3 0.7313 0.0000 0.0000  2 Si 2.46, 2 Ga 2.62
Ga1 0.3333 0.6667 0.0000  3 Ti 2.62, 6 Tc 2.74
Ga2 0.6667 0.3333 0.0000  3 Ti 2.62, 6 Tc 2.74
Si1 0.0000 0.0000 0.5000  6 Ti 2.46, 3 Tc 2.59
Tc1 0.0000 0.3667 0.5000  1 Si 2.59, 4 Ga 2.74, 4 Ti 2.80
Tc2 0.3667 0.0000 0.5000  1 Si 2.59, 4 Ga 2.74, 4 Ti 2.80
Tc3 0.6333 0.6333 0.5000  1 Si 2.59, 4 Ga 2.74, 4 Ti 2.80


Entry 2:
This record from Alexandria via LeMat-Bulk describes crystalline TlGa2SiTc at its relaxed geometry. The functional is PBE.

Unit cell a=4.9338 b=4.9338 c=4.6749 alpha=90.00 beta=90.00 gamma=90.00
Last column: nearest neighbours and their distance in Å.
Positions (direct):
Tl1 0.0000 0.0000 0.0000  8 Ga 3.40, 4 Si 3.49
Ga1 0.0000 0.5000 0.5000  2 Tc 2.47
Ga2 0.5000 0.0000 0.5000  2 Tc 2.47
Si1 0.5000 0.5000 0.0000  2 Tc 2.34
Tc1 0.5000 0.5000 0.5000  2 Si 2.34, 4 Ga 2.47


Summary of energy relative to the elements, uncorrected in eV/atom
-0.42, 0.05
(order as listed above)
Summary of DOS at the Fermi energy in states/eV/cell
4.2, 0.8
(order as listed above)